First-principles (PBE) data for a relaxed Ac3Ce2Sn3 crystal, as listed in the Alexandria database.

Cell lengths 6.7257, 9.7851, 9.7851 Å; angles 120.00, 90.00, 90.00 degrees
With the nearest neighbours (Å) after each atom.
Element x y z (fractional)
Ac (0.7500, 0.2548, 0.0000)  5 Sn 3.40-3.63
Ac (0.7500, 0.7452, 0.7452)  5 Sn 3.40-3.63
Ac (0.7500, 0.0000, 0.2548)  5 Sn 3.40-3.63
Ac (0.2500, 0.7452, 0.0000)  5 Sn 3.40-3.63
Ac (0.2500, 0.2548, 0.2548)  5 Sn 3.40-3.63
Ac (0.2500, 0.0000, 0.7452)  5 Sn 3.40-3.63
Ce (0.0000, 0.3333, 0.6667)  2 Ce 3.36, 6 Sn 3.44
Ce (0.5000, 0.6667, 0.3333)  2 Ce 3.36, 6 Sn 3.44
Ce (0.0000, 0.6667, 0.3333)  2 Ce 3.36, 6 Sn 3.44
Ce (0.5000, 0.3333, 0.6667)  2 Ce 3.36, 6 Sn 3.44
Sn (0.7500, 0.6044, 0.0000)  5 Ac 3.40-3.63, 4 Ce 3.44
Sn (0.7500, 0.3956, 0.3956)  5 Ac 3.40-3.63, 4 Ce 3.44
Sn (0.7500, 0.0000, 0.6044)  5 Ac 3.40-3.63, 4 Ce 3.44
Sn (0.2500, 0.3956, 0.0000)  5 Ac 3.40-3.63, 4 Ce 3.44
Sn (0.2500, 0.6044, 0.6044)  5 Ac 3.40-3.63, 4 Ce 3.44
Sn (0.2500, 0.0000, 0.3956)  5 Ac 3.40-3.63, 4 Ce 3.44

ΔE_f = -0.58 eV/atom
SG = P6_3/mcm, No. 193
DFT total energy = -5.11 eV per atom


First-principles (PBE) data for a relaxed Ac12Ce2Sn5 crystal, as listed in the Alexandria database.

Cell lengths 8.3766, 9.9806, 10.4227 Å; angles 94.24, 90.00, 114.81 degrees
With the nearest neighbours (Å) after each atom.
Element x y z (fractional)
Ac (0.9824, 0.9648, 0.1775)  1 Sn 3.35, 2 Ce 3.45
Ac (0.0644, 0.6424, 0.8747)  3 Sn 3.43-3.67, 1 Ce 3.49, 1 Ac 3.82
Ac (0.5780, 0.6424, 0.8747)  3 Sn 3.43-3.67, 1 Ce 3.49, 1 Ac 3.82
Ac (0.1052, 0.7122, 0.4053)  4 Sn 3.34-3.48
Ac (0.6070, 0.7122, 0.4053)  4 Sn 3.34-3.48
Ac (0.4748, 0.9496, 0.6898)  2 Sn 3.39-3.55, 2 Ce 3.49
Ac (0.5252, 0.0504, 0.3102)  2 Sn 3.39-3.55, 2 Ce 3.49
Ac (0.8948, 0.2878, 0.5947)  4 Sn 3.34-3.48
Ac (0.3930, 0.2878, 0.5947)  4 Sn 3.34-3.48
Ac (0.9356, 0.3576, 0.1253)  3 Sn 3.43-3.67, 1 Ce 3.49, 1 Ac 3.82
Ac (0.4220, 0.3576, 0.1253)  3 Sn 3.43-3.67, 1 Ce 3.49, 1 Ac 3.82
Ac (0.0176, 0.0352, 0.8225)  1 Sn 3.35, 2 Ce 3.45
Ce (0.6567, 0.0000, 0.0000)  1 Ce 2.63
Ce (0.3433, 0.0000, 0.0000)  1 Ce 2.63
Sn (0.2885, 0.5771, 0.6206)  7 Ac 3.34-3.43
Sn (0.3480, 0.6959, 0.1389)  2 Ce 3.47, 7 Ac 3.48-3.67
Sn (0.0000, 0.0000, 0.5000)  6 Ac 3.35-3.42
Sn (0.6520, 0.3041, 0.8611)  2 Ce 3.47, 7 Ac 3.48-3.67
Sn (0.7115, 0.4229, 0.3794)  7 Ac 3.34-3.43

ΔE_f = -0.20 eV/atom
SG = C2/m, No. 12
DFT total energy = -4.48 eV per atom


First-principles (PBE) data for a relaxed Ac2Ce2Sn5 crystal, as listed in the Alexandria database.

Cell lengths 8.4566, 8.3858, 9.0909 Å; angles 117.47, 90.00, 90.00 degrees
With the nearest neighbours (Å) after each atom.
Element x y z (fractional)
Ac (0.0000, 0.2138, 0.4275)  7 Sn 3.38-3.45
Ac (0.5000, 0.7138, 0.4275)  7 Sn 3.38-3.45
Ac (0.0000, 0.7862, 0.5725)  7 Sn 3.38-3.45
Ac (0.5000, 0.2862, 0.5725)  7 Sn 3.38-3.45
Ce (0.6216, 0.8789, 0.0000)  1 Ce 2.89, 2 Sn 3.10
Ce (0.3784, 0.1211, 0.0000)  1 Ce 2.89, 2 Sn 3.10
Ce (0.1216, 0.6211, 0.0000)  1 Ce 2.89, 2 Sn 3.10
Ce (0.8784, 0.3789, 0.0000)  1 Ce 2.89, 2 Sn 3.10
Sn (0.0000, 0.0000, 0.0000)  4 Ce 3.34-3.36, 2 Ac 3.45, 8 Sn 3.67-3.70
Sn (0.5000, 0.5000, 0.0000)  4 Ce 3.34-3.36, 2 Ac 3.45, 8 Sn 3.67-3.70
Sn (0.8214, 0.8039, 0.2477)  3 Ce 3.10-3.27, 3 Ac 3.38-3.43
Sn (0.1786, 0.4438, 0.2477)  3 Ce 3.10-3.27, 3 Ac 3.38-3.43
Sn (0.3214, 0.9438, 0.2477)  3 Ce 3.10-3.27, 3 Ac 3.38-3.43
Sn (0.6786, 0.3039, 0.2477)  3 Ce 3.10-3.27, 3 Ac 3.38-3.43
Sn (0.1786, 0.1961, 0.7523)  3 Ce 3.10-3.27, 3 Ac 3.38-3.43
Sn (0.8214, 0.5562, 0.7523)  3 Ce 3.10-3.27, 3 Ac 3.38-3.43
Sn (0.6786, 0.0562, 0.7523)  3 Ce 3.10-3.27, 3 Ac 3.38-3.43
Sn (0.3214, 0.6961, 0.7523)  3 Ce 3.10-3.27, 3 Ac 3.38-3.43

ΔE_f = -0.53 eV/atom
SG = Cmce, No. 64
DFT total energy = -4.99 eV per atom


First-principles (PBE) data for a relaxed Ac5CeSn3 crystal, as listed in the Alexandria database.

Cell lengths 7.1596, 10.1940, 10.1934 Å; angles 120.00, 90.00, 90.00 degrees
With the nearest neighbours (Å) after each atom.
Element x y z (fractional)
Ac (0.0000, 0.6667, 0.3333)  8 Ac 3.58-3.87, 6 Sn 3.83
Ac (0.5000, 0.3333, 0.6667)  8 Ac 3.58-3.87, 6 Sn 3.83
Ac (0.0000, 0.3333, 0.6667)  8 Ac 3.58-3.87, 6 Sn 3.83
Ac (0.5000, 0.6667, 0.3333)  8 Ac 3.58-3.87, 6 Sn 3.83
Ac (0.7500, 0.6741, 0.6741)  5 Sn 3.37-3.58, 2 Ce 3.77
Ac (0.7500, 0.0000, 0.3259)  5 Sn 3.37-3.58, 2 Ce 3.77
Ac (0.7500, 0.3259, 0.0000)  5 Sn 3.37-3.58, 2 Ce 3.77
Ac (0.2500, 0.3259, 0.3259)  5 Sn 3.37-3.58, 2 Ce 3.77
Ac (0.2500, 0.0000, 0.6741)  5 Sn 3.37-3.58, 2 Ce 3.77
Ac (0.2500, 0.6741, 0.0000)  5 Sn 3.37-3.58, 2 Ce 3.77
Ce (0.0000, 0.0000, 0.0000)  2 Ce 3.58, 6 Ac 3.77, 6 Sn 3.86
Ce (0.5000, 0.0000, 0.0000)  2 Ce 3.58, 6 Ac 3.77, 6 Sn 3.86
Sn (0.7500, 0.3350, 0.3350)  5 Ac 3.37-3.58
Sn (0.7500, 0.0000, 0.6650)  5 Ac 3.37-3.58
Sn (0.7500, 0.6650, 0.0000)  5 Ac 3.37-3.58
Sn (0.2500, 0.6650, 0.6650)  5 Ac 3.37-3.58
Sn (0.2500, 0.0000, 0.3350)  5 Ac 3.37-3.58
Sn (0.2500, 0.3350, 0.0000)  5 Ac 3.37-3.58

ΔE_f = -0.43 eV/atom
SG = P6_3/mcm, No. 193
DFT total energy = -4.71 eV per atom


First-principles (PBE) data for a relaxed AcCe2Sn3 crystal, as listed in the Alexandria database.

Cell lengths 3.6207, 3.6207, 13.5968 Å; angles 90.00, 90.00, 90.00 degrees
With the nearest neighbours (Å) after each atom.
Element x y z (fractional)
Ac (0.5000, 0.5000, 0.5000)  8 Sn 3.53, 4 Ac 3.62
Ce (0.5000, 0.5000, 0.8394)  8 Sn 3.36-3.37, 4 Ce 3.62
Ce (0.5000, 0.5000, 0.1606)  8 Sn 3.36-3.37, 4 Ce 3.62
Sn (0.0000, 0.0000, 0.0000)  8 Ce 3.36, 4 Sn 3.62
Sn (0.0000, 0.0000, 0.6784)  4 Ce 3.37, 4 Ac 3.53, 4 Sn 3.62
Sn (0.0000, 0.0000, 0.3216)  4 Ce 3.37, 4 Ac 3.53, 4 Sn 3.62

ΔE_f = -0.58 eV/atom
SG = P4/mmm, No. 123
DFT total energy = -5.24 eV per atom


First-principles (PBE) data for a relaxed SrAcCeSn crystal, as listed in the Alexandria database.

Cell lengths 5.8146, 5.8146, 5.8146 Å; angles 60.00, 60.00, 60.00 degrees
With the nearest neighbours (Å) after each atom.
Element x y z (fractional)
Sr (0.5000, 0.5000, 0.5000)  4 Ac 3.56, 4 Sn 3.56
Ac (0.7500, 0.7500, 0.7500)  4 Sr 3.56, 4 Ce 3.56
Sn (0.2500, 0.2500, 0.2500)  4 Ce 3.56, 4 Sr 3.56
Ce (0.0000, 0.0000, 0.0000)  4 Sn 3.56, 4 Ac 3.56

ΔE_f = -0.02 eV/atom
SG = F-43m, No. 216
DFT total energy = -3.95 eV per atom


First-principles (PBE) data for a relaxed AcCeThSn crystal, as listed in the Alexandria database.

Cell lengths 5.6409, 5.6409, 5.6409 Å; angles 60.00, 60.00, 60.00 degrees
With the nearest neighbours (Å) after each atom.
Element x y z (fractional)
Ac (0.7500, 0.7500, 0.7500)  4 Ce 3.45, 4 Th 3.45
Ce (0.0000, 0.0000, 0.0000)  4 Ac 3.45, 4 Sn 3.45
Th (0.5000, 0.5000, 0.5000)  4 Sn 3.45, 4 Ac 3.45
Sn (0.2500, 0.2500, 0.2500)  4 Th 3.45, 4 Ce 3.45

ΔE_f = -0.06 eV/atom
SG = F-43m, No. 216
DFT total energy = -5.43 eV per atom


First-principles (PBE) data for a relaxed AcCeYSn crystal, as listed in the Alexandria database.

Cell lengths 5.5880, 5.5880, 5.5880 Å; angles 60.00, 60.00, 60.00 degrees
With the nearest neighbours (Å) after each atom.
Element x y z (fractional)
Y (0.7500, 0.7500, 0.7500)  4 Ac 3.42, 4 Sn 3.42
Ac (0.5000, 0.5000, 0.5000)  4 Y 3.42, 4 Ce 3.42
Sn (0.0000, 0.0000, 0.0000)  4 Ce 3.42, 4 Y 3.42
Ce (0.2500, 0.2500, 0.2500)  4 Ac 3.42, 4 Sn 3.42

ΔE_f = -0.14 eV/atom
SG = F-43m, No. 216
DFT total energy = -5.27 eV per atom


First-principles (PBE) data for a relaxed SrAc4Ce crystal, as listed in the Alexandria database.

Cell lengths 7.3857, 7.3857, 7.3857 Å; angles 60.00, 60.00, 60.00 degrees
With the nearest neighbours (Å) after each atom.
Element x y z (fractional)
Sr (0.2500, 0.2500, 0.2500)  12 Ac 4.33, 4 Ce 4.52
Ac (0.6263, 0.6263, 0.1211)  6 Ac 3.65-3.73
Ac (0.6263, 0.1211, 0.6263)  6 Ac 3.65-3.73
Ac (0.6263, 0.6263, 0.6263)  6 Ac 3.65-3.73
Ac (0.1211, 0.6263, 0.6263)  6 Ac 3.65-3.73
Ce (0.0000, 0.0000, 0.0000)  12 Ac 4.33, 4 Sr 4.52

ΔE_f = 0.34 eV/atom
SG = F-43m, No. 216
DFT total energy = -3.67 eV per atom


First-principles (PBE) data for a relaxed Sr3Ac2CeTe6 crystal, as listed in the Alexandria database.

Cell lengths 4.6659, 9.4676, 10.5593 Å; angles 104.04, 102.76, 90.00 degrees
With the nearest neighbours (Å) after each atom.
Element x y z (fractional)
Sr (0.5000, 0.5000, 0.0000)  6 Te 3.32-3.36
Sr (0.8321, 0.1658, 0.6641)  6 Te 3.30-3.35
Sr (0.1679, 0.8342, 0.3359)  6 Te 3.30-3.35
Ac (0.8350, 0.6689, 0.6701)  6 Te 3.33-3.37
Ac (0.1650, 0.3311, 0.3299)  6 Te 3.33-3.37
Ce (0.5000, 0.0000, 0.0000)  6 Te 3.28
Te (0.3359, 0.9216, 0.6717)  1 Ce 3.28, 3 Sr 3.30-3.35, 2 Ac 3.34
Te (0.6663, 0.5860, 0.3326)  3 Sr 3.31-3.32, 3 Ac 3.35-3.37
Te (0.6641, 0.0784, 0.3283)  1 Ce 3.28, 3 Sr 3.30-3.35, 2 Ac 3.34
Te (0.9979, 0.2429, 0.9958)  2 Ce 3.28, 3 Sr 3.31-3.36, 1 Ac 3.33
Te (0.0021, 0.7571, 0.0042)  2 Ce 3.28, 3 Sr 3.31-3.36, 1 Ac 3.33
Te (0.3337, 0.4140, 0.6674)  3 Sr 3.31-3.32, 3 Ac 3.35-3.37

raw formation energy = -18.7 eV/f.u.
SG = C2/m, No. 12
DFT total energy = -4.73 eV per atom


First-principles (PBE) data for a relaxed SrAcCeTl crystal, as listed in the Alexandria database.

Cell lengths 5.8902, 5.8902, 5.8902 Å; angles 60.00, 60.00, 60.00 degrees
With the nearest neighbours (Å) after each atom.
Element x y z (fractional)
Sr (0.7500, 0.7500, 0.7500)  4 Ac 3.61, 4 Tl 3.61
Ac (0.5000, 0.5000, 0.5000)  4 Ce 3.61, 4 Sr 3.61
Tl (0.0000, 0.0000, 0.0000)  4 Sr 3.61, 4 Ce 3.61
Ce (0.2500, 0.2500, 0.2500)  4 Tl 3.61, 4 Ac 3.61

ΔE_f = 0.15 eV/atom
SG = F-43m, No. 216
DFT total energy = -3.38 eV per atom


First-principles (PBE) data for a relaxed AcTbCe2 crystal, as listed in the Alexandria database.

Cell lengths 5.2178, 5.0563, 5.0563 Å; angles 90.00, 90.00, 90.00 degrees
With the nearest neighbours (Å) after each atom.
Element x y z (fractional)
Ac (0.5000, 0.5000, 0.5000)  4 Tb 3.58, 8 Ce 3.63
Tb (0.5000, 0.0000, 0.0000)  4 Ac 3.58, 8 Ce 3.63
Ce (0.0000, 0.0000, 0.5000)  4 Ce 3.58, 4 Tb 3.63, 4 Ac 3.63
Ce (0.0000, 0.5000, 0.0000)  4 Ce 3.58, 4 Tb 3.63, 4 Ac 3.63

ΔE_f = 0.15 eV/atom
SG = P4/mmm, No. 123
DFT total energy = -5.00 eV per atom
energy relative to the lowest polymorph listed for this composition = 0.00 kJ per mole of atoms